The following is a DFT calculation (SCAN) of a crystal of KPSN2 relaxed with PBEsol.

Calculated values
* uncorrected formation energy: 1136 meV/atom
* total magnetization: 0.984 Bohr magnetons per cell
* density of states at the Fermi level: 2.61 states/eV per cell

Unit cell a=3.5569 b=3.5569 c=8.6069 alpha=90.00 beta=90.00 gamma=90.00
Closest atoms and distances in Å follow each position.
Space group P4/mmm (No. 123)
Unique sites:
K 0.0000 0.0000 0.0000 (multiplicity 1)  4 S 2.52
P 0.0000 0.0000 0.5000 (multiplicity 1)  4 N 1.78
S 0.5000 0.5000 0.0000 (multiplicity 1)  4 K 2.52
N 0.0000 0.5000 0.5000 (multiplicity 2)  2 P 1.78


The following is a DFT calculation (SCAN) of a crystal of LiMg2Zr relaxed with PBEsol.

Calculated values
* ΔE_f: 0.04 eV per atom
* total magnetization: 0.067 Bohr magnetons per cell
* density of states at the Fermi level: 4.85 states/eV per cell

Unit cell a=3.2559 b=4.9388 c=10.4264 alpha=90.00 beta=90.00 gamma=90.00
Closest atoms and distances in Å follow each position.
Space group Cmmm (No. 65)
Unique sites:
Li 0.0000 0.0000 0.0000 (multiplicity 2)  6 Li 2.96-3.26, 4 Mg 3.01
Mg 0.0000 0.5000 0.2425 (multiplicity 4)  6 Mg 2.96-3.26, 2 Li 3.01, 2 Zr 3.14
Zr 0.0000 0.0000 0.5000 (multiplicity 2)  6 Zr 2.96-3.26, 4 Mg 3.14


The following is a DFT calculation (SCAN) of a crystal of Na2ZrMn relaxed with PBEsol.

Calculated values
* ΔE_f: 0.83 eV per atom
* total magnetization: 10.335 Bohr magnetons per cell
* density of states at the Fermi level: 12.96 states/eV per cell

Unit cell a=7.0463 b=7.0463 c=7.0463 alpha=90.00 beta=90.00 gamma=90.00
Closest atoms and distances in Å follow each position.
Space group Fm-3m (No. 225)
Unique sites:
Na 0.2500 0.2500 0.2500 (multiplicity 8)  4 Zr 3.05, 4 Mn 3.05
Zr 0.0000 0.0000 0.0000 (multiplicity 4)  8 Na 3.05
Mn 0.0000 0.0000 0.5000 (multiplicity 4)  8 Na 3.05